# 1
{
  "formula": "Pr4Y6Tm",
  "functional": "PBE",
  "state": "relaxed",
  "formation_enthalpy_0k_ev_per_fu": 1.79,
  "spacegroup": "No. 187",
  "lattice_angstrom": [[11.0454, 0.0000, 0.0000], [-5.5227, 9.5656, 0.0000], [0.0000, 0.0000, 3.6049]],
  "species": ["Pr", "Pr", "Pr", "Pr", "Y", "Y", "Y", "Y", "Y", "Y", "Tm"],
  "frac_coords": [[0.0000, 0.0000, 0.0000], [0.0150, 0.5075, 0.5000], [0.4925, 0.5075, 0.5000], [0.4925, 0.9850, 0.5000], [0.1512, 0.3024, 0.5000], [0.1512, 0.8488, 0.5000], [0.3699, 0.1849, 0.0000], [0.6976, 0.8488, 0.5000], [0.8151, 0.1849, 0.0000], [0.8151, 0.6301, 0.0000], [0.3333, 0.6667, 0.0000]]
}



# 2
{
  "formula": "PrThSn",
  "functional": "PBE",
  "state": "relaxed",
  "formation_enthalpy_0k_ev_per_fu": -0.13,
  "spacegroup": "No. 139",
  "lattice_angstrom": [[-5.7956, 5.7956, 3.0566], [5.7956, -5.7956, 3.0566], [5.7956, 5.7956, -3.0566]],
  "species": ["Pr", "Pr", "Pr", "Pr", "Th", "Th", "Th", "Th", "Sn", "Sn", "Sn", "Sn"],
  "frac_coords": [[0.0000, 0.2391, 0.2391], [0.0000, 0.7609, 0.7609], [0.2391, 0.0000, 0.2391], [0.7609, 0.0000, 0.7609], [0.3245, 0.3245, 0.6491], [0.3245, 0.6755, 0.0000], [0.6755, 0.3245, 0.0000], [0.6755, 0.6755, 0.3509], [0.1211, 0.5000, 0.6211], [0.5000, 0.1211, 0.6211], [0.5000, 0.8789, 0.3789], [0.8789, 0.5000, 0.3789]]
}



Question: Which formula does entry 2 have?
Answer: PrThSn



Repeat the first record exactly.
{
  "formula": "Pr4Y6Tm",
  "functional": "PBE",
  "state": "relaxed",
  "formation_enthalpy_0k_ev_per_fu": 1.79,
  "spacegroup": "No. 187",
  "lattice_angstrom": [[11.0454, 0.0000, 0.0000], [-5.5227, 9.5656, 0.0000], [0.0000, 0.0000, 3.6049]],
  "species": ["Pr", "Pr", "Pr", "Pr", "Y", "Y", "Y", "Y", "Y", "Y", "Tm"],
  "frac_coords": [[0.0000, 0.0000, 0.0000], [0.0150, 0.5075, 0.5000], [0.4925, 0.5075, 0.5000], [0.4925, 0.9850, 0.5000], [0.1512, 0.3024, 0.5000], [0.1512, 0.8488, 0.5000], [0.3699, 0.1849, 0.0000], [0.6976, 0.8488, 0.5000], [0.8151, 0.1849, 0.0000], [0.8151, 0.6301, 0.0000], [0.3333, 0.6667, 0.0000]]
}